SmAu2Br6 | PBE-GGA | relaxed

Properties
DFT total energy ... -28.72 eV per formula unit
Formation energy without anion corrections ... -0.82 eV per atom
Crystal system ... monoclinic
D(E_F) ... 7.84 states/eV per cell

a b c (Å): 14.9496 12.6439 7.2842
angles (deg): 90.00 98.45 90.00
Closest atoms and distances in Å follow each position.
Space group C2/c (No. 15)
Asymmetric unit:
Sm  0.0000  0.0934  0.2500  6 Br 2.88-2.89
Au  0.1054  0.4390  0.2653  3 Br 2.46-2.59
Br  0.1104  0.0646  0.6048  2 Sm 2.88-2.89
Br  0.1137  0.3883  0.6126  2 Au 2.46-2.59
Br  0.1276  0.2475  0.1571  1 Au 2.58, 1 Sm 2.88

Sm2AuBr2 | PBE-GGA | relaxed

Properties
DFT total energy ... -22.63 eV per formula unit
Formation energy without anion corrections ... -1.31 eV per atom
Crystal system ... trigonal
D(E_F) ... 11.18 states/eV per cell

a b c (Å): 4.0959 4.0959 33.6169
angles (deg): 90.00 90.00 120.00
Closest atoms and distances in Å follow each position.
Space group R-3m (No. 166, hexagonal axes)
Asymmetric unit:
Sm  0.0000  0.0000  0.1120  3 Au 2.99, 3 Br 3.03
Au  0.0000  0.0000  0.5000  6 Sm 2.99
Br  0.0000  0.0000  0.2775  3 Sm 3.03

Sm7AuBr12 | PBE-GGA | relaxed

Properties
DFT total energy ... -88.06 eV per formula unit
Formation energy without anion corrections ... -1.58 eV per atom
Crystal system ... trigonal
D(E_F) ... 27.61 states/eV per cell

a b c (Å): 15.3099 15.3099 9.9600
angles (deg): 90.00 90.00 120.00
Closest atoms and distances in Å follow each position.
Space group R-3 (No. 148, hexagonal axes)
Asymmetric unit:
Sm  0.0000  0.0000  0.0000  6 Br 2.96
Sm  0.0448  0.1680  0.3327  1 Au 2.85, 5 Br 2.97-3.07
Au  0.0000  0.0000  0.5000  6 Sm 2.85
Br  0.0284  0.5863  0.1625  3 Sm 2.97-3.07
Br  0.0493  0.1839  0.8454  3 Sm 2.96-3.01

Sn7AuBr12 | PBE-GGA | relaxed

Properties
DFT total energy ... -64.33 eV per formula unit
Formation energy without anion corrections ... -0.65 eV per atom
Crystal system ... trigonal
D(E_F) ... 12.06 states/eV per cell

a b c (Å): 15.1012 15.1012 10.9097
angles (deg): 90.00 90.00 120.00
Closest atoms and distances in Å follow each position.
Space group R-3 (No. 148, hexagonal axes)
Asymmetric unit:
Sn  0.0000  0.0000  0.0000  6 Br 3.02
Sn  0.0507  0.1748  0.3387  5 Br 2.88-3.16, 1 Au 2.94
Au  0.0000  0.0000  0.5000  6 Sn 2.94
Br  0.0277  0.5937  0.1428  3 Sn 2.88-3.16
Br  0.0401  0.1744  0.8308  3 Sn 2.90-3.11

SnAuBr2 | PBE-GGA | relaxed

Properties
DFT total energy ... -10.59 eV per formula unit
Formation energy without anion corrections ... 0.01 eV per atom
Crystal system ... tetragonal
D(E_F) ... 20.03 states/eV per cell

a b c (Å): 7.9817 7.9817 6.9368
angles (deg): 90.00 90.00 90.00
Closest atoms and distances in Å follow each position.
Space group I-42d (No. 122)
Asymmetric unit:
Sn  0.0000  0.0000  0.0000  4 Br 3.03
Au  0.0000  0.0000  0.5000  4 Br 2.87
Br  0.2353  0.2500  0.6250  2 Au 2.87, 2 Sn 3.03

SnAu2Br8 | PBE-GGA | relaxed

Properties
DFT total energy ... -26.46 eV per formula unit
Formation energy without anion corrections ... -0.23 eV per atom
Crystal system ... monoclinic
D(E_F) ... 10.25 states/eV per cell

a b c (Å): 12.2952 9.0257 7.4079
angles (deg): 90.00 104.07 90.00
Closest atoms and distances in Å follow each position.
Space group C2/m (No. 12)
Asymmetric unit:
Sn  0.0000  0.0000  0.0000  6 Br 2.57-2.74
Au  0.2412  0.0000  0.7638  3 Br 2.40-2.58
Br  0.0726  0.5000  0.2843  1 Au 2.40
Br  0.0973  0.1967  0.8061  1 Au 2.58, 1 Sn 2.74
Br  0.1791  0.0000  0.2644  1 Sn 2.57

SnAuBr3 | PBE-GGA | relaxed

Properties
DFT total energy ... -12.38 eV per formula unit
Formation energy without anion corrections ... -0.02 eV per atom
Crystal system ... cubic
D(E_F) ... 3.15 states/eV per cell

a b c (Å): 5.3489 5.3489 5.3489
angles (deg): 90.00 90.00 90.00
Closest atoms and distances in Å follow each position.
Space group Pm-3m (No. 221)
Asymmetric unit:
Sn  0.0000  0.0000  0.0000  12 Br 3.78
Au  0.5000  0.5000  0.5000  6 Br 2.67
Br  0.0000  0.5000  0.5000  2 Au 2.67

SnAuBr2 | PBE-GGA | relaxed

Properties
DFT total energy ... -10.65 eV per formula unit
Formation energy without anion corrections ... -0.01 eV per atom
Crystal system ... cubic
D(E_F) ... 12.71 states/eV per cell

a b c (Å): 7.4438 7.4438 7.4438
angles (deg): 90.00 90.00 90.00
Closest atoms and distances in Å follow each position.
Space group Fm-3m (No. 225)
Asymmetric unit:
Sn  0.0000  0.0000  0.0000  8 Br 3.22
Au  0.0000  0.0000  0.5000  8 Br 3.22
Br  0.2500  0.2500  0.2500  4 Au 3.22, 4 Sn 3.22

SnAu2Br8 | PBE-GGA | relaxed

Properties
DFT total energy ... -26.14 eV per formula unit
Formation energy without anion corrections ... -0.20 eV per atom
Crystal system ... monoclinic
D(E_F) ... 6.54 states/eV per cell

a b c (Å): 14.3364 7.6103 8.2162
angles (deg): 90.00 111.30 90.00
Closest atoms and distances in Å follow each position.
Space group C2/m (No. 12)
Asymmetric unit:
Sn  0.0000  0.0000  0.0000  4 Br 2.67-2.94
Au  0.1180  0.5000  0.7075  4 Br 2.48-2.57
Br  0.0253  0.0000  0.6940  1 Sn 2.67
Br  0.0720  0.5000  0.3751  2 Au 2.56-2.57
Br  0.1439  0.5000  0.0226  1 Au 2.48
Br  0.2031  0.0000  0.2670  1 Au 2.50

SrSnAu2Br | PBE-GGA | relaxed

Properties
DFT total energy ... -15.89 eV per formula unit
Formation energy without anion corrections ... -0.39 eV per atom
Crystal system ... tetragonal
D(E_F) ... 1.80 states/eV per cell

a b c (Å): 5.1230 5.1230 6.7328
angles (deg): 90.00 90.00 90.00
Closest atoms and distances in Å follow each position.
Space group P4/mmm (No. 123)
Asymmetric unit:
Sr  0.0000  0.0000  0.0000  2 Sn 3.37, 4 Br 3.62
Sn  0.0000  0.0000  0.5000  4 Au 2.56
Au  0.0000  0.5000  0.5000  2 Sn 2.56
Br  0.5000  0.5000  0.0000  4 Sr 3.62

Tl2SnAuBr | PBE-GGA | relaxed

Properties
DFT total energy ... -12.51 eV per formula unit
Formation energy without anion corrections ... 0.24 eV per atom
Crystal system ... tetragonal
D(E_F) ... 3.31 states/eV per cell

a b c (Å): 5.5772 5.5772 5.3913
angles (deg): 90.00 90.00 90.00
Closest atoms and distances in Å follow each position.
Space group P4/mmm (No. 123)
Asymmetric unit:
Tl  0.0000  0.5000  0.0000  2 Au 2.79
Sn  0.0000  0.0000  0.5000  8 Tl 3.88, 4 Br 3.94
Au  0.5000  0.5000  0.0000  2 Br 2.70, 4 Tl 2.79
Br  0.5000  0.5000  0.5000  2 Au 2.70

VSnAuBr | PBE-GGA | relaxed

Properties
DFT total energy ... -18.48 eV per formula unit
Formation energy without anion corrections ... -0.10 eV per atom
Crystal system ... trigonal
D(E_F) ... 2.73 states/eV per cell

a b c (Å): 3.2442 3.2442 9.8797
angles (deg): 90.00 90.00 120.00
Closest atoms and distances in Å follow each position.
Space group P3m1 (No. 156)
Asymmetric unit:
V  0.0000  0.0000  0.0000  3 Br 2.49, 3 Au 2.71
Sn  0.0000  0.0000  0.4399  3 Au 3.04, 6 Sn 3.24
Au  0.3333  0.6667  0.1978  3 V 2.71
Br  0.3333  0.6667  0.8336  3 V 2.49